# MnAl4Se (GGA-PBE, relaxed)
# **Theoretical density**: 3820 kg/m³
# **E_form (uncorrected)**: 0.240 eV/atom
# **Space group**: No. 216
data_MnAl4Se
_space_group_name_H-M_alt 'P 1'
_space_group_IT_number 1
_cell_length_a 5.2974
_cell_length_b 5.2974
_cell_length_c 5.2974
_cell_angle_alpha 60.00
_cell_angle_beta 60.00
_cell_angle_gamma 60.00
loop_
_space_group_symop_operation_xyz
'x,y,z'
loop_
_atom_site_label
_atom_site_fract_x
_atom_site_fract_y
_atom_site_fract_z
Mn1 0.7500 0.7500 0.7500
Al1 0.8710 0.3763 0.3763
Al2 0.3763 0.3763 0.8710
Al3 0.3763 0.8710 0.3763
Al4 0.3763 0.3763 0.3763
Se1 0.0000 0.0000 0.0000